Version one
Below is a relaxed structure of ZnBr2N, with properties calculated at the PBE level.

Computed properties:
**Volume**: 45.2 A^3/atom
**Density**: 2.198 g/cm³
**SG**: R-3m (166)

a b c (Å): 9.075 9.075 9.075
angles (deg): 31.46 31.46 31.46
Fractional coordinates of all 4 atoms:
Zn (0.000, 0.000, 0.000)
Br (0.914, 0.914, 0.914)
Br (0.086, 0.086, 0.086)
N (0.500, 0.500, 0.500)

***

Version two
Below is a relaxed structure of ZnBr2N, with properties calculated at the PBE level.

Computed properties:
**Volume**: 20.4 A^3/atom
**Density**: 4.878 g/cm³
**SG**: Fm-3m (225)

a b c (Å): 4.865 4.865 4.865
angles (deg): 60.00 60.00 60.00
Fractional coordinates of all 4 atoms:
Zn (0.500, 0.500, 0.500)
Br (0.250, 0.250, 0.250)
Br (0.750, 0.750, 0.750)
N (0.000, 0.000, 0.000)

***

Of them, version two has the lowest stability.

***

Version one
Below is a relaxed structure of ZnBr2N2, with properties calculated at the PBE level.

Computed properties:
**Volume**: 24.5 A^3/atom
**Density**: 3.431 g/cm³
**SG**: I4/mmm (139)

a b c (Å): 4.267 4.267 7.376
angles (deg): 73.19 73.19 90.00
Fractional coordinates of all 5 atoms:
Zn (0.000, 0.000, 0.000)
Br (0.294, 0.294, 0.412)
Br (0.706, 0.706, 0.588)
N (0.750, 0.250, 0.500)
N (0.250, 0.750, 0.500)

***

Version two
Below is a relaxed structure of ZnBr2N2, with properties calculated at the PBE level.

Computed properties:
**Volume**: 29.8 A^3/atom
**Density**: 2.822 g/cm³
**SG**: C2/m (12)

a b c (Å): 3.799 3.807 13.198
angles (deg): 112.10 90.00 119.93
Fractional coordinates of all 5 atoms:
Zn (0.000, 0.000, 0.000)
Br (0.775, 0.550, 0.125)
Br (0.225, 0.450, 0.875)
N (0.022, 0.044, 0.464)
N (0.978, 0.956, 0.536)

***

Version three
Below is a relaxed structure of ZnBr2N2, with properties calculated at the PBE level.

Computed properties:
**Volume**: 26.5 A^3/atom
**Density**: 3.173 g/cm³
**SG**: P4/mbm (127)

a b c (Å): 9.009 9.009 3.266
angles (deg): 90.00 90.00 90.00
Fractional coordinates of all 10 atoms:
Zn (0.000, 0.000, 0.000)
Zn (0.500, 0.500, 0.000)
Br (0.333, 0.833, 0.000)
Br (0.833, 0.667, 0.000)
Br (0.667, 0.167, 0.000)
Br (0.167, 0.333, 0.000)
N (0.252, 0.752, 0.500)
N (0.752, 0.748, 0.500)
N (0.748, 0.248, 0.500)
N (0.248, 0.252, 0.500)

***

Of them, version one has the lowest stability.